Material: In2IrRh
Method: DFT, PBE-GGA
State: optimized geometry

a = 2.887 Å, b = 5.054 Å, c = 10.638 Å
α = 90.00°, β = 90.00°, γ = 90.00°
Fractional positions:
In (0.000, 0.000, 0.249)
In (0.000, 0.000, 0.751)
In (0.500, 0.500, 0.251)
In (0.500, 0.500, 0.749)
Ir (0.000, 0.000, 0.500)
Ir (0.500, 0.500, 0.000)
Rh (0.000, 0.000, 0.000)
Rh (0.500, 0.500, 0.500)

Summary:
Density of states at the Fermi level, states/eV/atom: 1.503
Formation enthalpy at 0 K, eV/atom: 0.55

***

Material: In2IrRh
Method: DFT, PBE-GGA
State: optimized geometry

a = 3.132 Å, b = 3.476 Å, c = 6.275 Å
α = 90.00°, β = 90.00°, γ = 90.00°
Fractional positions:
In (0.000, 0.000, 0.248)
In (0.000, 0.000, 0.752)
Ir (0.500, 0.500, 0.500)
Rh (0.500, 0.500, 0.000)

Summary:
Density of states at the Fermi level, states/eV/atom: 0.399
Formation enthalpy at 0 K, eV/atom: -0.23

***

Material: In2IrRh
Method: DFT, PBE-GGA
State: optimized geometry

a = 3.057 Å, b = 3.057 Å, c = 27.112 Å
α = 90.00°, β = 90.00°, γ = 120.00°
Fractional positions:
In (0.000, 0.000, 0.000)
In (0.000, 0.000, 0.234)
In (0.333, 0.667, 0.667)
In (0.333, 0.667, 0.901)
In (0.667, 0.333, 0.333)
In (0.667, 0.333, 0.568)
Ir (0.000, 0.000, 0.746)
Ir (0.333, 0.667, 0.413)
Ir (0.667, 0.333, 0.080)
Rh (0.000, 0.000, 0.490)
Rh (0.333, 0.667, 0.156)
Rh (0.667, 0.333, 0.823)

Summary:
Density of states at the Fermi level, states/eV/atom: 1.206
Formation enthalpy at 0 K, eV/atom: 0.22

***

Material: In3IrRh
Method: DFT, PBE-GGA
State: optimized geometry

a = 5.063 Å, b = 5.063 Å, c = 5.063 Å
α = 90.00°, β = 90.00°, γ = 90.00°
Fractional positions:
In (0.000, 0.000, 0.500)
In (0.000, 0.500, 0.000)
In (0.500, 0.000, 0.000)
Ir (0.000, 0.000, 0.000)
Rh (0.500, 0.500, 0.500)

Summary:
Density of states at the Fermi level, states/eV/atom: 0.985
Energy above the lowest structure with this stoichiometry, meV per atom: 0
Formation enthalpy at 0 K, eV/atom: 0.49

***

Material: In2IrRh
Method: DFT, PBE-GGA
State: optimized geometry

a = 3.098 Å, b = 3.098 Å, c = 25.572 Å
α = 90.00°, β = 90.00°, γ = 120.00°
Fractional positions:
In (0.000, 0.000, 0.249)
In (0.000, 0.000, 0.751)
In (0.333, 0.667, 0.417)
In (0.333, 0.667, 0.916)
In (0.667, 0.333, 0.084)
In (0.667, 0.333, 0.583)
Ir (0.000, 0.000, 0.000)
Ir (0.333, 0.667, 0.667)
Ir (0.667, 0.333, 0.333)
Rh (0.000, 0.000, 0.500)
Rh (0.333, 0.667, 0.167)
Rh (0.667, 0.333, 0.833)

Summary:
Density of states at the Fermi level, states/eV/atom: 0.745
Formation enthalpy at 0 K, eV/atom: -0.03

***

Material: In6IrRh5
Method: DFT, PBE-GGA
State: optimized geometry

a = 4.637 Å, b = 6.340 Å, c = 7.184 Å
α = 90.00°, β = 105.18°, γ = 90.00°
Fractional positions:
In (0.000, 0.249, 0.000)
In (0.000, 0.751, 0.000)
In (0.332, 0.250, 0.666)
In (0.332, 0.750, 0.666)
In (0.668, 0.250, 0.334)
In (0.668, 0.750, 0.334)
Ir (0.500, 0.500, 0.000)
Rh (0.167, 0.000, 0.334)
Rh (0.168, 0.500, 0.333)
Rh (0.500, 0.000, 0.000)
Rh (0.832, 0.500, 0.667)
Rh (0.833, 0.000, 0.666)

Summary:
Density of states at the Fermi level, states/eV/atom: 0.372
Formation enthalpy at 0 K, eV/atom: -0.36

***

Material: In2IrRh
Method: DFT, PBE-GGA
State: optimized geometry

a = 4.166 Å, b = 4.166 Å, c = 18.195 Å
α = 90.00°, β = 90.00°, γ = 90.00°
Fractional positions:
In (0.250, 0.250, 0.125)
In (0.250, 0.250, 0.625)
In (0.250, 0.750, 0.375)
In (0.250, 0.750, 0.875)
In (0.750, 0.250, 0.375)
In (0.750, 0.250, 0.875)
In (0.750, 0.750, 0.125)
In (0.750, 0.750, 0.625)
Ir (0.000, 0.000, 0.000)
Ir (0.000, 0.500, 0.250)
Ir (0.500, 0.000, 0.750)
Ir (0.500, 0.500, 0.500)
Rh (0.000, 0.000, 0.500)
Rh (0.000, 0.500, 0.750)
Rh (0.500, 0.000, 0.250)
Rh (0.500, 0.500, 0.000)

Summary:
Density of states at the Fermi level, states/eV/atom: 0.905
Formation enthalpy at 0 K, eV/atom: 0.35

***

Material: InIr2Rh2
Method: DFT, PBE-GGA
State: optimized geometry

a = 7.597 Å, b = 7.597 Å, c = 2.833 Å
α = 90.00°, β = 90.00°, γ = 90.00°
Fractional positions:
In (0.000, 0.000, 0.000)
In (0.500, 0.500, 0.000)
Ir (0.122, 0.378, 0.000)
Ir (0.378, 0.878, 0.000)
Ir (0.622, 0.122, 0.000)
Ir (0.878, 0.622, 0.000)
Rh (0.175, 0.675, 0.500)
Rh (0.325, 0.175, 0.500)
Rh (0.675, 0.825, 0.500)
Rh (0.825, 0.325, 0.500)

Summary:
Density of states at the Fermi level, states/eV/atom: 1.278
Formation enthalpy at 0 K, eV/atom: 0.18